1.
Density functional theory data (SCAN) for NaAgIN2 at its PBEsol-relaxed geometry.

Output
formation energy (no corrections): 1022 meV/atom

Structure (CIF):
```
data_NaAgIN2
_cell_length_a 4.168
_cell_length_b 4.168
_cell_length_c 6.510
_cell_angle_alpha 90.00
_cell_angle_beta 90.00
_cell_angle_gamma 90.00
_symmetry_space_group_name_H-M 'P 4/m m m'
_symmetry_Int_Tables_number 123
_symmetry_space_group_name_Hall '-P 4 2'
loop_
_atom_site_label
_atom_site_fract_x
_atom_site_fract_y
_atom_site_fract_z
_atom_site_occupancy
Na1 0.000 0.000 0.000 1
Ag1 0.500 0.500 0.500 1
I1 0.500 0.500 0.000 1
N1 0.000 0.500 0.500 1
```

---

2.
Density functional theory data (SCAN) for NiAgI2N at its PBEsol-relaxed geometry.

Output
formation energy (no corrections): 1200 meV/atom

Structure (CIF):
```
data_NiAgI2N
_cell_length_a 5.585
_cell_length_b 5.585
_cell_length_c 3.901
_cell_angle_alpha 90.00
_cell_angle_beta 90.00
_cell_angle_gamma 90.00
_symmetry_space_group_name_H-M 'P 4/m m m'
_symmetry_Int_Tables_number 123
_symmetry_space_group_name_Hall '-P 4 2'
loop_
_atom_site_label
_atom_site_fract_x
_atom_site_fract_y
_atom_site_fract_z
_atom_site_occupancy
Ni1 0.000 0.000 0.000 1
Ag1 0.500 0.500 0.500 1
I1 0.000 0.500 0.500 1
N1 0.500 0.500 0.000 1
```

---

3.
Density functional theory data (SCAN) for AgPtI2N at its PBEsol-relaxed geometry.

Output
formation energy (no corrections): 1431 meV/atom

Structure (CIF):
```
data_AgPtI2N
_cell_length_a 5.506
_cell_length_b 5.506
_cell_length_c 3.849
_cell_angle_alpha 90.00
_cell_angle_beta 90.00
_cell_angle_gamma 90.00
_symmetry_space_group_name_H-M 'P 4/m m m'
_symmetry_Int_Tables_number 123
_symmetry_space_group_name_Hall '-P 4 2'
loop_
_atom_site_label
_atom_site_fract_x
_atom_site_fract_y
_atom_site_fract_z
_atom_site_occupancy
Ag1 0.000 0.000 0.000 1
Pt1 0.500 0.500 0.500 1
I1 0.000 0.500 0.000 1
N1 0.000 0.000 0.500 1
```

---

4.
Density functional theory data (SCAN) for AgRuI2N at its PBEsol-relaxed geometry.

Output
formation energy (no corrections): 364 meV/atom

Structure (CIF):
```
data_AgRuI2N
_cell_length_a 5.490
_cell_length_b 5.490
_cell_length_c 3.662
_cell_angle_alpha 90.00
_cell_angle_beta 90.00
_cell_angle_gamma 90.00
_symmetry_space_group_name_H-M 'P 4/m m m'
_symmetry_Int_Tables_number 123
_symmetry_space_group_name_Hall '-P 4 2'
loop_
_atom_site_label
_atom_site_fract_x
_atom_site_fract_y
_atom_site_fract_z
_atom_site_occupancy
Ag1 0.000 0.000 0.000 1
Ru1 0.500 0.500 0.500 1
I1 0.000 0.500 0.500 1
N1 0.500 0.500 0.000 1
```

---

5.
Density functional theory data (SCAN) for TlAg2IN at its PBEsol-relaxed geometry.

Output
formation energy (no corrections): 1469 meV/atom

Structure (CIF):
```
data_TlAg2IN
_cell_length_a 5.328
_cell_length_b 5.328
_cell_length_c 6.790
_cell_angle_alpha 90.00
_cell_angle_beta 90.00
_cell_angle_gamma 90.00
_symmetry_space_group_name_H-M 'P 4/m m m'
_symmetry_Int_Tables_number 123
_symmetry_space_group_name_Hall '-P 4 2'
loop_
_atom_site_label
_atom_site_fract_x
_atom_site_fract_y
_atom_site_fract_z
_atom_site_occupancy
Tl1 0.000 0.000 0.000 1
Ag1 0.000 0.500 0.500 1
I1 0.000 0.000 0.500 1
N1 0.500 0.500 0.000 1
```

---

6.
Density functional theory data (SCAN) for ZnAgIN2 at its PBEsol-relaxed geometry.

Output
formation energy (no corrections): 1248 meV/atom

Structure (CIF):
```
data_ZnAgIN2
_cell_length_a 3.998
_cell_length_b 3.998
_cell_length_c 6.010
_cell_angle_alpha 90.00
_cell_angle_beta 90.00
_cell_angle_gamma 90.00
_symmetry_space_group_name_H-M 'P 4/m m m'
_symmetry_Int_Tables_number 123
_symmetry_space_group_name_Hall '-P 4 2'
loop_
_atom_site_label
_atom_site_fract_x
_atom_site_fract_y
_atom_site_fract_z
_atom_site_occupancy
Zn1 0.000 0.000 0.000 1
Ag1 0.500 0.500 0.500 1
I1 0.000 0.000 0.500 1
N1 0.000 0.500 0.000 1
```

---

7.
Density functional theory data (SCAN) for NaAgI2 at its PBEsol-relaxed geometry.

Output
formation energy (no corrections): -774 meV/atom

Structure (CIF):
```
data_NaAgI2
_cell_length_a 6.876
_cell_length_b 6.876
_cell_length_c 12.903
_cell_angle_alpha 90.00
_cell_angle_beta 90.00
_cell_angle_gamma 90.00
_symmetry_space_group_name_H-M 'I -4 2 d'
_symmetry_Int_Tables_number 122
_symmetry_space_group_name_Hall 'I -4 2bw'
loop_
_atom_site_label
_atom_site_fract_x
_atom_site_fract_y
_atom_site_fract_z
_atom_site_occupancy
Na1 0.000 0.000 0.000 1
Ag1 0.000 0.000 0.500 1
I1 0.218 0.250 0.625 1
```

---

8.
Density functional theory data (SCAN) for RbNaAgI2 at its PBEsol-relaxed geometry.

Output
formation energy (no corrections): -383 meV/atom

Structure (CIF):
```
data_RbNaAgI2
_cell_length_a 5.790
_cell_length_b 5.790
_cell_length_c 5.954
_cell_angle_alpha 90.00
_cell_angle_beta 90.00
_cell_angle_gamma 90.00
_symmetry_space_group_name_H-M 'P 4/m m m'
_symmetry_Int_Tables_number 123
_symmetry_space_group_name_Hall '-P 4 2'
loop_
_atom_site_label
_atom_site_fract_x
_atom_site_fract_y
_atom_site_fract_z
_atom_site_occupancy
Rb1 0.000 0.000 0.000 1
Na1 0.000 0.000 0.500 1
Ag1 0.500 0.500 0.000 1
I1 0.000 0.500 0.500 1
```

---

9.
Density functional theory data (SCAN) for RbNbAg2I at its PBEsol-relaxed geometry.

Output
formation energy (no corrections): 438 meV/atom

Structure (CIF):
```
data_RbNbAg2I
_cell_length_a 5.328
_cell_length_b 5.328
_cell_length_c 5.326
_cell_angle_alpha 90.00
_cell_angle_beta 90.00
_cell_angle_gamma 90.00
_symmetry_space_group_name_H-M 'P 4/m m m'
_symmetry_Int_Tables_number 123
_symmetry_space_group_name_Hall '-P 4 2'
loop_
_atom_site_label
_atom_site_fract_x
_atom_site_fract_y
_atom_site_fract_z
_atom_site_occupancy
Rb1 0.000 0.000 0.000 1
Nb1 0.500 0.500 0.500 1
Ag1 0.000 0.500 0.500 1
I1 0.500 0.500 0.000 1
```

---

10.
Density functional theory data (SCAN) for Ni2AgI at its PBEsol-relaxed geometry.

Output
formation energy (no corrections): 681 meV/atom

Structure (CIF):
```
data_Ni2AgI
_cell_length_a 6.243
_cell_length_b 6.243
_cell_length_c 6.243
_cell_angle_alpha 90.00
_cell_angle_beta 90.00
_cell_angle_gamma 90.00
_symmetry_space_group_name_H-M 'F m -3 m'
_symmetry_Int_Tables_number 225
_symmetry_space_group_name_Hall '-F 4 2 3'
loop_
_atom_site_label
_atom_site_fract_x
_atom_site_fract_y
_atom_site_fract_z
_atom_site_occupancy
Ni1 0.250 0.250 0.250 1
Ag1 0.000 0.000 0.000 1
I1 0.000 0.000 0.500 1
```

---

11.
Density functional theory data (SCAN) for Ag5IO6 at its PBEsol-relaxed geometry.

Output
formation energy (no corrections): -276 meV/atom

Structure (CIF):
```
data_Ag5IO6
_cell_length_a 5.8284
_cell_length_b 5.8284
_cell_length_c 32.5577
_cell_angle_alpha 90.00
_cell_angle_beta 90.00
_cell_angle_gamma 120.00
_symmetry_space_group_name_H-M 'R -3 c'
_symmetry_Int_Tables_number 167
_symmetry_space_group_name_Hall '-R 3 2"c'
loop_
_atom_site_label
_atom_site_fract_x
_atom_site_fract_y
_atom_site_fract_z
_atom_site_occupancy
Ag1 0.0000 0.0000 0.1462 1
Ag2 0.0000 0.2936 0.2500 1
I1 0.0000 0.0000 0.0000 1
O1 0.0362 0.4288 0.1331 1
```

---

12.
Density functional theory data (SCAN) for AgI3O8 at its PBEsol-relaxed geometry.

Output
formation energy (no corrections): -326 meV/atom

Structure (CIF):
```
data_AgI3O8
_cell_length_a 7.992
_cell_length_b 7.992
_cell_length_c 23.054
_cell_angle_alpha 90.00
_cell_angle_beta 90.00
_cell_angle_gamma 90.00
_symmetry_space_group_name_H-M 'I -4'
_symmetry_Int_Tables_number 82
loop_
_symmetry_equiv_pos_as_xyz
'x,y,z'
'y,-x,-z'
'-x,-y,z'
'-y,x,-z'
'x+1/2,y+1/2,z+1/2'
'y+1/2,-x+1/2,-z+1/2'
'-x+1/2,-y+1/2,z+1/2'
'-y+1/2,x+1/2,-z+1/2'
loop_
_atom_site_label
_atom_site_fract_x
_atom_site_fract_y
_atom_site_fract_z
_atom_site_occupancy
Ag1 0.000 0.000 0.130 1
Ag2 0.000 0.500 0.615 1
I1 0.000 0.000 0.346 1
I2 0.000 0.500 0.099 1
I3 0.223 0.250 0.778 1
I4 0.230 0.254 0.525 1
O1 0.001 0.734 0.791 1
O2 0.006 0.237 0.539 1
O3 0.039 0.829 0.294 1
O4 0.048 0.672 0.047 1
O5 0.063 0.765 0.928 1
O6 0.072 0.740 0.174 1
O7 0.077 0.755 0.662 1
O8 0.087 0.739 0.411 1
```

---

13.
Density functional theory data (SCAN) for AgI2O2 at its PBEsol-relaxed geometry.

Output
formation energy (no corrections): 791 meV/atom

Structure (CIF):
```
data_AgI2O2
_cell_length_a 5.555
_cell_length_b 5.555
_cell_length_c 3.881
_cell_angle_alpha 90.00
_cell_angle_beta 90.00
_cell_angle_gamma 90.00
_symmetry_space_group_name_H-M 'P 4/m m m'
_symmetry_Int_Tables_number 123
_symmetry_space_group_name_Hall '-P 4 2'
loop_
_atom_site_label
_atom_site_fract_x
_atom_site_fract_y
_atom_site_fract_z
_atom_site_occupancy
Ag1 0.000 0.000 0.000 1
I1 0.000 0.500 0.000 1
O1 0.000 0.000 0.500 1
O2 0.500 0.500 0.500 1
```

---

14.
Density functional theory data (SCAN) for Ag4PIO4 at its PBEsol-relaxed geometry.

Output
formation energy (no corrections): -1052 meV/atom

Structure (CIF):
```
data_Ag4PIO4
_cell_length_a 9.159
_cell_length_b 6.778
_cell_length_c 10.875
_cell_angle_alpha 90.00
_cell_angle_beta 109.66
_cell_angle_gamma 90.00
_symmetry_space_group_name_H-M 'P 1 21/m 1'
_symmetry_Int_Tables_number 11
loop_
_symmetry_equiv_pos_as_xyz
'x,y,z'
'-x,-y,-z'
'-x,y+1/2,-z'
'x,-y+1/2,z'
loop_
_atom_site_label
_atom_site_fract_x
_atom_site_fract_y
_atom_site_fract_z
_atom_site_occupancy
Ag1 0.010 0.042 0.289 1
Ag2 0.282 0.033 0.039 1
Ag3 0.310 0.250 0.279 1
Ag4 0.356 0.040 0.575 1
Ag5 0.386 0.250 0.809 1
P1 0.304 0.750 0.296 1
P2 0.362 0.750 0.825 1
I1 0.038 0.250 0.068 1
I2 0.095 0.250 0.536 1
O1 0.127 0.750 0.270 1
O2 0.264 0.560 0.825 1
O3 0.342 0.750 0.166 1
O4 0.379 0.562 0.375 1
O5 0.409 0.750 0.699 1
O6 0.492 0.250 0.050 1
```

---

15.
Density functional theory data (SCAN) for Ag4SeI2O4 at its PBEsol-relaxed geometry.

Output
formation energy (no corrections): -427 meV/atom

Structure (CIF):
```
data_Ag4SeI2O4
_cell_length_a 9.198
_cell_length_b 12.792
_cell_length_c 7.158
_cell_angle_alpha 90.00
_cell_angle_beta 90.00
_cell_angle_gamma 90.00
_symmetry_space_group_name_H-M 'P n a 21'
_symmetry_Int_Tables_number 33
loop_
_symmetry_equiv_pos_as_xyz
'x,y,z'
'-x,-y,z+1/2'
'-x+1/2,y+1/2,z+1/2'
'x+1/2,-y+1/2,z'
loop_
_atom_site_label
_atom_site_fract_x
_atom_site_fract_y
_atom_site_fract_z
_atom_site_occupancy
Ag1 0.033 0.025 0.000 1
Ag2 0.035 0.766 0.829 1
Ag3 0.134 0.411 0.739 1
Ag4 0.227 0.195 0.891 1
Se1 0.181 0.435 0.236 1
I1 0.052 0.817 0.226 1
I2 0.241 0.116 0.259 1
O1 0.119 0.368 0.052 1
O2 0.121 0.371 0.427 1
O3 0.129 0.560 0.234 1
O4 0.133 0.931 0.740 1
```

---

16.
Density functional theory data (SCAN) for AgSeI2O at its PBEsol-relaxed geometry.

Output
formation energy (no corrections): 96 meV/atom

Structure (CIF):
```
data_AgSeI2O
_cell_length_a 5.726
_cell_length_b 5.726
_cell_length_c 3.776
_cell_angle_alpha 90.00
_cell_angle_beta 90.00
_cell_angle_gamma 90.00
_symmetry_space_group_name_H-M 'P 4/m m m'
_symmetry_Int_Tables_number 123
_symmetry_space_group_name_Hall '-P 4 2'
loop_
_atom_site_label
_atom_site_fract_x
_atom_site_fract_y
_atom_site_fract_z
_atom_site_occupancy
Ag1 0.000 0.000 0.000 1
Se1 0.500 0.500 0.500 1
I1 0.000 0.500 0.500 1
O1 0.500 0.500 0.000 1
```

---

17.
Density functional theory data (SCAN) for AgSnI2O at its PBEsol-relaxed geometry.

Output
formation energy (no corrections): -205 meV/atom

Structure (CIF):
```
data_AgSnI2O
_cell_length_a 5.920
_cell_length_b 5.920
_cell_length_c 3.975
_cell_angle_alpha 90.00
_cell_angle_beta 90.00
_cell_angle_gamma 90.00
_symmetry_space_group_name_H-M 'P 4/m m m'
_symmetry_Int_Tables_number 123
_symmetry_space_group_name_Hall '-P 4 2'
loop_
_atom_site_label
_atom_site_fract_x
_atom_site_fract_y
_atom_site_fract_z
_atom_site_occupancy
Ag1 0.000 0.000 0.000 1
Sn1 0.500 0.500 0.500 1
I1 0.000 0.500 0.500 1
O1 0.500 0.500 0.000 1
```

---

18.
Density functional theory data (SCAN) for AgTe2IO at its PBEsol-relaxed geometry.

Output
formation energy (no corrections): 160 meV/atom

Structure (CIF):
```
data_AgTe2IO
_cell_length_a 4.376
_cell_length_b 4.376
_cell_length_c 7.104
_cell_angle_alpha 90.00
_cell_angle_beta 90.00
_cell_angle_gamma 90.00
_symmetry_space_group_name_H-M 'P 4/m m m'
_symmetry_Int_Tables_number 123
_symmetry_space_group_name_Hall '-P 4 2'
loop_
_atom_site_label
_atom_site_fract_x
_atom_site_fract_y
_atom_site_fract_z
_atom_site_occupancy
Ag1 0.000 0.000 0.000 1
Te1 0.000 0.500 0.500 1
I1 0.500 0.500 0.000 1
O1 0.500 0.500 0.500 1
```

---

19.
Density functional theory data (SCAN) for AgWIO2 at its PBEsol-relaxed geometry.

Output
formation energy (no corrections): -785 meV/atom

Structure (CIF):
```
data_AgWIO2
_cell_length_a 3.878
_cell_length_b 3.878
_cell_length_c 5.990
_cell_angle_alpha 90.00
_cell_angle_beta 90.00
_cell_angle_gamma 90.00
_symmetry_space_group_name_H-M 'P 4/m m m'
_symmetry_Int_Tables_number 123
_symmetry_space_group_name_Hall '-P 4 2'
loop_
_atom_site_label
_atom_site_fract_x
_atom_site_fract_y
_atom_site_fract_z
_atom_site_occupancy
Ag1 0.000 0.000 0.000 1
W1 0.500 0.500 0.500 1
I1 0.500 0.500 0.000 1
O1 0.000 0.500 0.500 1
```